# V3GeO

A geometry-optimized V3GeO structure (PBE with a Hubbard U, Alexandria).

Geometry as extended XYZ:
```
5
Lattice="4.0262 0.0000 0.0000 0.0000 4.0262 0.0000 0.0000 0.0000 4.0262" Properties=species:S:1:pos:R:3 pbc="T T T"
V 0.0000 0.0000 2.0131
V 0.0000 2.0131 0.0000
V 2.0131 0.0000 0.0000
Ge 2.0131 2.0131 2.0131
O 0.0000 0.0000 0.0000
```

As for the space group: No. 221. As for the distance to the lowest polymorph of the same formula: 0.0 kJ/mol of atoms. As for the total magnetization: 2.75 μB per formula unit. The value obtained for the total DFT energy (no corrections) is -6.244 eV/atom.